Entry 1:
Material: LaCuAg2
Method: DFT, GGA-PBE
State: optimized geometry

Geometry as POSCAR:
```
LaCuAg2
1.0
-1.401 0.573 3.968
2.297 -2.671 1.197
5.152 2.512 1.457
Ag Cu La
2 1 1
direct
0.000 0.026 0.072 Ag
0.500 0.445 0.231 Ag
0.000 0.313 0.499 Cu
0.500 0.715 0.697 La
```

DOS(E_F)	2.176	states/eV/f.u.
total magnetic moment	0.0	μB/f.u.
density	7.823	Mg/m³
calculated volume	89	Å³/cell
space-group type	Pm, No. 6
E_form	-45	meV/atom



Entry 2:
Material: LaCu2Ag
Method: DFT, GGA-PBE
State: optimized geometry

Geometry as POSCAR:
```
LaCu2Ag
1.0
4.498 -0.029 0.012
2.276 3.880 0.012
2.238 1.273 4.714
Cu Ag La
2 1 1
direct
0.042 0.042 0.873 Cu
0.458 0.458 0.627 Cu
0.750 0.750 0.750 Ag
0.250 0.250 0.250 La
```

DOS(E_F)	2.188	states/eV/f.u.
total magnetic moment	0.0	μB/f.u.
density	7.529	Mg/m³
calculated volume	82	Å³/cell
space-group type	C2/m, No. 12
E_form	-148	meV/atom



Entry 3:
Material: LaCu2Ag
Method: DFT, GGA-PBE
State: optimized geometry

Geometry as POSCAR:
```
LaCu2Ag
1.0
4.883 0.000 0.000
2.441 4.229 0.000
2.441 1.410 3.987
Ag Cu La
1 2 1
direct
0.500 0.500 0.500 Ag
0.000 0.000 0.000 Cu
0.250 0.250 0.250 Cu
0.750 0.750 0.750 La
```

DOS(E_F)	2.236	states/eV/f.u.
total magnetic moment	0.0	μB/f.u.
density	7.542	Mg/m³
calculated volume	82	Å³/cell
space-group type	F-43m, No. 216
E_form	15	meV/atom



Entry 4:
Material: La4Cu2Ag5
Method: DFT, GGA-PBE
State: optimized geometry

Geometry as POSCAR:
```
La4Cu2Ag5
1.0
-3.649 1.639 0.864
1.572 -0.398 7.398
3.590 8.177 -0.348
La Cu Ag
4 2 5
direct
0.500 0.757 0.609 La
0.500 0.214 0.857 La
0.500 0.243 0.391 La
0.500 0.786 0.143 La
0.000 0.070 0.625 Cu
0.000 0.930 0.375 Cu
0.000 0.574 0.351 Ag
0.000 0.133 0.125 Ag
0.000 0.500 0.000 Ag
0.000 0.867 0.875 Ag
0.000 0.426 0.649 Ag
```

DOS(E_F)	8.438	states/eV/f.u.
total magnetic moment	0.0	μB/f.u.
density	7.326	Mg/m³
calculated volume	277	Å³/cell
space-group type	P2/m, No. 10
E_form	-221	meV/atom